Version A
Below is an optimized crystal structure of SrCdS2Cl, with properties calculated at the GGA-PBE level.

Lattice parameters (Å, degrees): 5.686 5.686 5.450 90.00 90.00 90.00
Space group P4/mmm (No. 123)
One atom of each set of equivalent atoms:
1 Sr 0.000 0.000 0.000 (multiplicity 1)
2 Cd 0.500 0.500 0.500 (multiplicity 1)
3 S 0.000 0.500 0.000 (multiplicity 2)
4 Cl 0.000 0.000 0.500 (multiplicity 1)

Total magnetic moment   1.44 μB per formula unit
Calculated density   2.823 g/cm³

Version B
Below is an optimized crystal structure of SrCdS2Cl, with properties calculated at the GGA-PBE level.

Lattice parameters (Å, degrees): 4.995 4.995 5.299 90.00 90.00 90.00
Space group P4/mmm (No. 123)
One atom of each set of equivalent atoms:
1 Sr 0.000 0.000 0.000 (multiplicity 1)
2 Cd 0.500 0.500 0.500 (multiplicity 1)
3 S 0.000 0.500 0.500 (multiplicity 2)
4 Cl 0.500 0.500 0.000 (multiplicity 1)

Total magnetic moment   0.00 μB per formula unit
Calculated density   3.764 g/cm³

Which of them is the least stable? Correct choice: version A.

Version A
Below is an optimized crystal structure of CdTcS2Cl, with properties calculated at the GGA-PBE level.

Lattice parameters (Å, degrees): 4.600 4.600 5.059 90.00 90.00 90.00
Space group P4/mmm (No. 123)
One atom of each set of equivalent atoms:
1 Cd 0.000 0.000 0.000 (multiplicity 1)
2 Tc 0.500 0.500 0.500 (multiplicity 1)
3 S 0.000 0.500 0.500 (multiplicity 2)
4 Cl 0.500 0.500 0.000 (multiplicity 1)

Total magnetic moment   0.00 μB per formula unit
Calculated density   4.807 g/cm³

Version B
Below is an optimized crystal structure of CdTcS2Cl, with properties calculated at the GGA-PBE level.

Lattice parameters (Å, degrees): 4.971 4.971 5.076 90.00 90.00 90.00
Space group P4/mmm (No. 123)
One atom of each set of equivalent atoms:
1 Cd 0.000 0.000 0.000 (multiplicity 1)
2 Tc 0.500 0.500 0.500 (multiplicity 1)
3 S 0.000 0.500 0.000 (multiplicity 2)
4 Cl 0.000 0.000 0.500 (multiplicity 1)

Total magnetic moment   4.68 μB per formula unit
Calculated density   4.104 g/cm³

Which of them is the least stable? Correct choice: version B.

Version A
Below is an optimized crystal structure of TiCdSCl2, with properties calculated at the GGA-PBE level.

Lattice parameters (Å, degrees): 4.870 4.870 4.767 90.00 90.00 90.00
Space group P4/mmm (No. 123)
One atom of each set of equivalent atoms:
1 Ti 0.000 0.000 0.000 (multiplicity 1)
2 Cd 0.500 0.500 0.500 (multiplicity 1)
3 S 0.000 0.000 0.500 (multiplicity 1)
4 Cl 0.000 0.500 0.000 (multiplicity 2)

Total magnetic moment   0.00 μB per formula unit
Calculated density   3.867 g/cm³

Version B
Below is an optimized crystal structure of TiCdSCl2, with properties calculated at the GGA-PBE level.

Lattice parameters (Å, degrees): 5.015 5.015 5.202 90.00 90.00 90.00
Space group P4/mmm (No. 123)
One atom of each set of equivalent atoms:
1 Ti 0.000 0.000 0.000 (multiplicity 1)
2 Cd 0.500 0.500 0.500 (multiplicity 1)
3 S 0.500 0.500 0.000 (multiplicity 1)
4 Cl 0.000 0.500 0.500 (multiplicity 2)

Total magnetic moment   2.01 μB per formula unit
Calculated density   3.342 g/cm³

Which of them is the least stable? Correct choice: version B.

Version A
Below is an optimized crystal structure of VCdS2Cl, with properties calculated at the GGA-PBE level.

Lattice parameters (Å, degrees): 4.989 4.989 5.005 90.00 90.00 90.00
Space group P4/mmm (No. 123)
One atom of each set of equivalent atoms:
1 V 0.000 0.000 0.000 (multiplicity 1)
2 Cd 0.500 0.500 0.500 (multiplicity 1)
3 S 0.000 0.500 0.500 (multiplicity 2)
4 Cl 0.500 0.500 0.000 (multiplicity 1)

Total magnetic moment   2.62 μB per formula unit
Calculated density   3.504 g/cm³

Version B
Below is an optimized crystal structure of VCdS2Cl, with properties calculated at the GGA-PBE level.

Lattice parameters (Å, degrees): 4.640 4.640 4.841 90.00 90.00 90.00
Space group P4/mmm (No. 123)
One atom of each set of equivalent atoms:
1 V 0.000 0.000 0.000 (multiplicity 1)
2 Cd 0.500 0.500 0.500 (multiplicity 1)
3 S 0.000 0.500 0.000 (multiplicity 2)
4 Cl 0.000 0.000 0.500 (multiplicity 1)

Total magnetic moment   1.44 μB per formula unit
Calculated density   4.190 g/cm³

Which of them is the least stable? Correct choice: version A.

Version A
Below is an optimized crystal structure of VCdSCl2, with properties calculated at the GGA-PBE level.

Lattice parameters (Å, degrees): 4.858 4.858 4.672 90.00 90.00 90.00
Space group P4/mmm (No. 123)
One atom of each set of equivalent atoms:
1 V 0.000 0.000 0.000 (multiplicity 1)
2 Cd 0.500 0.500 0.500 (multiplicity 1)
3 S 0.000 0.000 0.500 (multiplicity 1)
4 Cl 0.000 0.500 0.000 (multiplicity 2)

Total magnetic moment   2.17 μB per formula unit
Calculated density   4.010 g/cm³

Version B
Below is an optimized crystal structure of VCdSCl2, with properties calculated at the GGA-PBE level.

Lattice parameters (Å, degrees): 5.001 5.001 5.238 90.00 90.00 90.00
Space group P4/mmm (No. 123)
One atom of each set of equivalent atoms:
1 V 0.000 0.000 0.000 (multiplicity 1)
2 Cd 0.500 0.500 0.500 (multiplicity 1)
3 S 0.500 0.500 0.000 (multiplicity 1)
4 Cl 0.000 0.500 0.500 (multiplicity 2)

Total magnetic moment   3.07 μB per formula unit
Calculated density   3.375 g/cm³

Which of them is the least stable? Correct choice: version B.

Version A
Below is an optimized crystal structure of CdWS2Cl, with properties calculated at the GGA-PBE level.

Lattice parameters (Å, degrees): 4.702 4.702 4.928 90.00 90.00 90.00
Space group P4/mmm (No. 123)
One atom of each set of equivalent atoms:
1 Cd 0.000 0.000 0.000 (multiplicity 1)
2 W 0.500 0.500 0.500 (multiplicity 1)
3 S 0.000 0.500 0.500 (multiplicity 2)
4 Cl 0.500 0.500 0.000 (multiplicity 1)

Total magnetic moment   0.00 μB per formula unit
Calculated density   6.033 g/cm³

Version B
Below is an optimized crystal structure of CdWS2Cl, with properties calculated at the GGA-PBE level.

Lattice parameters (Å, degrees): 5.009 5.009 4.854 90.00 90.00 90.00
Space group P4/mmm (No. 123)
One atom of each set of equivalent atoms:
1 Cd 0.000 0.000 0.000 (multiplicity 1)
2 W 0.500 0.500 0.500 (multiplicity 1)
3 S 0.000 0.500 0.000 (multiplicity 2)
4 Cl 0.000 0.000 0.500 (multiplicity 1)

Total magnetic moment   3.40 μB per formula unit
Calculated density   5.398 g/cm³

Which of them is the least stable? Correct choice: version B.

Version A
Below is an optimized crystal structure of ZnCdSCl2, with properties calculated at the GGA-PBE level.

Lattice parameters (Å, degrees): 4.673 4.673 5.166 90.00 90.00 90.00
Space group P4/mmm (No. 123)
One atom of each set of equivalent atoms:
1 Zn 0.000 0.000 0.000 (multiplicity 1)
2 Cd 0.500 0.500 0.500 (multiplicity 1)
3 S 0.000 0.000 0.500 (multiplicity 1)
4 Cl 0.000 0.500 0.000 (multiplicity 2)

Total magnetic moment   0.00 μB per formula unit
Calculated density   4.134 g/cm³

Version B
Below is an optimized crystal structure of ZnCdSCl2, with properties calculated at the GGA-PBE level.

Lattice parameters (Å, degrees): 5.032 5.032 5.309 90.00 90.00 90.00
Space group P4/mmm (No. 123)
One atom of each set of equivalent atoms:
1 Zn 0.000 0.000 0.000 (multiplicity 1)
2 Cd 0.500 0.500 0.500 (multiplicity 1)
3 S 0.500 0.500 0.000 (multiplicity 1)
4 Cl 0.000 0.500 0.500 (multiplicity 2)

Total magnetic moment   0.00 μB per formula unit
Calculated density   3.468 g/cm³

Which of them is the least stable? Correct choice: version B.

Version A
Below is an optimized crystal structure of ZnCdS2Cl, with properties calculated at the GGA-PBE level.

Lattice parameters (Å, degrees): 4.689 4.689 4.923 90.00 90.00 90.00
Space group P4/mmm (No. 123)
One atom of each set of equivalent atoms:
1 Zn 0.000 0.000 0.000 (multiplicity 1)
2 Cd 0.500 0.500 0.500 (multiplicity 1)
3 S 0.000 0.500 0.000 (multiplicity 2)
4 Cl 0.000 0.000 0.500 (multiplicity 1)

Total magnetic moment   0.00 μB per formula unit
Calculated density   4.255 g/cm³

Version B
Below is an optimized crystal structure of ZnCdS2Cl, with properties calculated at the GGA-PBE level.

Lattice parameters (Å, degrees): 5.035 5.035 5.071 90.00 90.00 90.00
Space group P4/mmm (No. 123)
One atom of each set of equivalent atoms:
1 Zn 0.000 0.000 0.000 (multiplicity 1)
2 Cd 0.500 0.500 0.500 (multiplicity 1)
3 S 0.000 0.500 0.500 (multiplicity 2)
4 Cl 0.500 0.500 0.000 (multiplicity 1)

Total magnetic moment   0.00 μB per formula unit
Calculated density   3.583 g/cm³

Which of them is the least stable? Correct choice: version B.